No. 1
# Y2SiPb | Alexandria via LeMat-Bulk | GGA-PBE | relaxed
# **Symmetry**: R-3m, No. 166
# **E_form (uncorrected)**: -0.518 eV/atom
# **Polymorph energy (0 for the lowest one)**: 59 meV per atom
# **Density of states at the Fermi level**: 4.875 states/eV/cell
# **Uncorrected energy**: -6.033 eV/atom
# **Magnetic moment**: 0.0 μB per cell
data_Y2SiPb
_chemical_formula_sum 'Y2 Si1 Pb1'
_cell_length_a 8.5103
_cell_length_b 8.5103
_cell_length_c 8.5103
_cell_angle_alpha 26.95
_cell_angle_beta 26.95
_cell_angle_gamma 26.95
_symmetry_space_group_name_H-M 'P 1'
_symmetry_Int_Tables_number 1
loop_
_symmetry_equiv_pos_as_xyz
'x,y,z'
loop_
_atom_site_label
_atom_site_fract_x
_atom_site_fract_y
_atom_site_fract_z
_atom_site_occupancy
Y1 0.0141 0.0141 0.0141 1
Y2 0.4859 0.4859 0.4859 1
Si1 0.7500 0.7500 0.7500 1
Pb1 0.2500 0.2500 0.2500 1



No. 2
# Y2SiPb | Alexandria via LeMat-Bulk | GGA-PBE | relaxed
# **Symmetry**: Amm2, No. 38
# **E_form (uncorrected)**: -0.576 eV/atom
# **Polymorph energy (0 for the lowest one)**: 0 meV per atom
# **Density of states at the Fermi level**: 2.771 states/eV/cell
# **Uncorrected energy**: -6.091 eV/atom
# **Magnetic moment**: 0.0 μB per cell
data_Y2SiPb
_chemical_formula_sum 'Y2 Si1 Pb1'
_cell_length_a 4.1389
_cell_length_b 4.4229
_cell_length_c 6.0078
_cell_angle_alpha 68.37
_cell_angle_beta 90.00
_cell_angle_gamma 90.00
_symmetry_space_group_name_H-M 'P 1'
_symmetry_Int_Tables_number 1
loop_
_symmetry_equiv_pos_as_xyz
'x,y,z'
loop_
_atom_site_label
_atom_site_fract_x
_atom_site_fract_y
_atom_site_fract_z
_atom_site_occupancy
Si1 0.5000 0.5304 0.8151 1
Y1 0.0000 0.9911 0.8929 1
Y2 0.5000 0.2686 0.3373 1
Pb1 0.0000 0.7098 0.4547 1